Entry 1:
Mg6GaPd5: relaxed, GGA-PBE.

Cell lengths 4.4087, 6.7488, 7.7818 Å; angles 115.70, 106.46, 90.00 degrees
With the nearest neighbours (Å) after each atom.
Element x y z (fractional)
Mg (0.8297, 0.5727, 0.6595)  7 Pd 2.75-2.81, 1 Ga 2.85, 2 Mg 3.06
Mg (0.8298, 0.0868, 0.6595)  7 Pd 2.75-2.81, 1 Ga 2.85, 2 Mg 3.06
Mg (0.5000, 0.7359, 0.0000)  6 Pd 2.72-2.79, 2 Ga 2.83
Mg (0.5000, 0.2641, 0.0000)  6 Pd 2.72-2.79, 2 Ga 2.83
Mg (0.1702, 0.9132, 0.3405)  7 Pd 2.75-2.81, 1 Ga 2.85, 2 Mg 3.06
Mg (0.1703, 0.4273, 0.3405)  7 Pd 2.75-2.81, 1 Ga 2.85, 2 Mg 3.06
Ga (0.0000, 0.0000, 0.0000)  8 Mg 2.83-2.85, 4 Pd 3.07
Pd (0.6608, 0.1608, 0.3217)  8 Mg 2.78-2.81, 2 Ga 3.07
Pd (0.3322, 0.3322, 0.6645)  8 Mg 2.74-2.77
Pd (0.0000, 0.5000, 0.0000)  8 Mg 2.72-2.80
Pd (0.6678, 0.6678, 0.3355)  8 Mg 2.74-2.77
Pd (0.3392, 0.8392, 0.6783)  8 Mg 2.78-2.81, 2 Ga 3.07

Summary:
Crystal system: orthorhombic
Calculated volume in Å³/f.u.: 198.1
Energy of formation from the pure elements in meV/atom: -644



Entry 2:
Mg5Ga12Pd2: relaxed, GGA-PBE.

Cell lengths 7.1564, 7.6007, 7.8410 Å; angles 86.63, 90.00, 118.08 degrees
With the nearest neighbours (Å) after each atom.
Element x y z (fractional)
Mg (0.2033, 0.4066, 0.7396)  7 Ga 2.76-3.01
Mg (0.3459, 0.6918, 0.1732)  2 Pd 2.77, 5 Ga 2.81-2.98
Mg (0.0000, 0.0000, 0.5000)  2 Ga 2.60
Mg (0.6541, 0.3082, 0.8268)  2 Pd 2.77, 5 Ga 2.81-2.98
Mg (0.7967, 0.5934, 0.2604)  7 Ga 2.76-3.01
Ga (0.9991, 0.9982, 0.1680)  2 Pd 2.56, 2 Mg 2.60-2.76, 3 Ga 2.63-2.71
Ga (0.0269, 0.6582, 0.8855)  1 Pd 2.64, 4 Ga 2.71-2.88, 1 Mg 2.81
Ga (0.6313, 0.6582, 0.8855)  1 Pd 2.64, 4 Ga 2.71-2.88, 1 Mg 2.81
Ga (0.1502, 0.6985, 0.5070)  3 Ga 2.72-2.85, 4 Mg 2.95-3.01
Ga (0.5483, 0.6985, 0.5070)  3 Ga 2.72-2.85, 4 Mg 2.95-3.01
Ga (0.4481, 0.8961, 0.7375)  2 Pd 2.61, 4 Ga 2.72-2.88, 1 Mg 2.89
Ga (0.5519, 0.1039, 0.2625)  2 Pd 2.61, 4 Ga 2.72-2.88, 1 Mg 2.89
Ga (0.8498, 0.3015, 0.4930)  3 Ga 2.72-2.85, 4 Mg 2.95-3.01
Ga (0.4517, 0.3015, 0.4930)  3 Ga 2.72-2.85, 4 Mg 2.95-3.01
Ga (0.9731, 0.3418, 0.1145)  1 Pd 2.64, 4 Ga 2.71-2.88, 1 Mg 2.81
Ga (0.3687, 0.3418, 0.1145)  1 Pd 2.64, 4 Ga 2.71-2.88, 1 Mg 2.81
Ga (0.0009, 0.0018, 0.8320)  2 Pd 2.56, 2 Mg 2.60-2.76, 3 Ga 2.63-2.71
Pd (0.6931, 0.0000, 0.0000)  6 Ga 2.56-2.64, 1 Pd 2.76, 2 Mg 2.77
Pd (0.3069, 0.0000, 0.0000)  6 Ga 2.56-2.64, 1 Pd 2.76, 2 Mg 2.77

Summary:
Crystal system: monoclinic
Calculated volume in Å³/f.u.: 375.4
Energy of formation from the pure elements in meV/atom: -151
Energy above the lowest structure with this stoichiometry in eV per atom: 0.075



Entry 3:
Mg2Ga3Pd8: relaxed, GGA-PBE.

Cell lengths 4.5111, 8.9353, 7.0128 Å; angles 129.57, 78.23, 90.00 degrees
With the nearest neighbours (Å) after each atom.
Element x y z (fractional)
Mg (0.3482, 0.3008, 0.6016)  7 Pd 2.50-2.80
Mg (0.6518, 0.6992, 0.3984)  7 Pd 2.50-2.80
Ga (0.5000, 0.0000, 0.0000)  8 Pd 2.51-2.71
Ga (0.0000, 0.2503, 0.0000)  8 Pd 2.62-2.70
Ga (0.0000, 0.7497, 0.0000)  8 Pd 2.62-2.70
Pd (0.2052, 0.5745, 0.1490)  2 Mg 2.50-2.70, 2 Ga 2.62, 4 Pd 2.72-2.76
Pd (0.7948, 0.4255, 0.8510)  2 Mg 2.50-2.70, 2 Ga 2.62, 4 Pd 2.72-2.76
Pd (0.9141, 0.1419, 0.2838)  2 Mg 2.67-2.93, 4 Ga 2.68-2.71, 2 Pd 2.96-2.97
Pd (0.0859, 0.8581, 0.7162)  2 Mg 2.67-2.93, 4 Ga 2.68-2.71, 2 Pd 2.96-2.97
Pd (0.5910, 0.6316, 0.7233)  3 Ga 2.51-2.70, 2 Mg 2.67-2.80, 2 Pd 2.73-2.77
Pd (0.5910, 0.0917, 0.7233)  3 Ga 2.51-2.70, 2 Mg 2.67-2.80, 2 Pd 2.73-2.77
Pd (0.4090, 0.9083, 0.2767)  3 Ga 2.51-2.70, 2 Mg 2.67-2.80, 2 Pd 2.73-2.77
Pd (0.4090, 0.3684, 0.2767)  3 Ga 2.51-2.70, 2 Mg 2.67-2.80, 2 Pd 2.73-2.77

Summary:
Crystal system: monoclinic
Calculated volume in Å³/f.u.: 210.1
Energy of formation from the pure elements in meV/atom: -499



Entry 4:
MgGa8Pd2: relaxed, GGA-PBE.

Cell lengths 5.1813, 6.8552, 6.8552 Å; angles 60.43, 101.95, 101.95 degrees
With the nearest neighbours (Å) after each atom.
Element x y z (fractional)
Mg (0.0000, 0.0000, 0.0000)  2 Pd 2.72, 6 Ga 2.87-2.94
Ga (0.4013, 0.3935, 0.8103)  2 Pd 2.57-2.69, 4 Ga 2.73-2.88
Ga (0.5987, 0.1897, 0.6065)  2 Pd 2.57-2.69, 4 Ga 2.73-2.88
Ga (0.2028, 0.7948, 0.7948)  2 Pd 2.60, 1 Ga 2.66, 1 Mg 2.87
Ga (0.7972, 0.2052, 0.2052)  2 Pd 2.60, 1 Ga 2.66, 1 Mg 2.87
Ga (0.4013, 0.8103, 0.3935)  2 Pd 2.57-2.69, 4 Ga 2.73-2.88
Ga (0.5987, 0.6065, 0.1897)  2 Pd 2.57-2.69, 4 Ga 2.73-2.88
Ga (0.8657, 0.5862, 0.5862)  1 Pd 2.64, 6 Ga 2.66-2.85
Ga (0.1343, 0.4138, 0.4138)  1 Pd 2.64, 6 Ga 2.66-2.85
Pd (0.6941, 0.7790, 0.7790)  7 Ga 2.57-2.69, 1 Mg 2.72
Pd (0.3059, 0.2210, 0.2210)  7 Ga 2.57-2.69, 1 Mg 2.72

Summary:
Crystal system: monoclinic
Calculated volume in Å³/f.u.: 205.6
Energy of formation from the pure elements in meV/atom: -219
Energy above the lowest structure with this stoichiometry in eV per atom: 0.000



Entry 5:
Mg4GaPd7: relaxed, GGA-PBE.

Cell lengths 4.7713, 8.7624, 5.7593 Å; angles 77.74, 65.53, 74.20 degrees
With the nearest neighbours (Å) after each atom.
Element x y z (fractional)
Mg (0.5904, 0.2279, 0.5914)  8 Pd 2.63-2.86
Mg (0.4096, 0.7721, 0.4086)  8 Pd 2.63-2.86
Mg (0.7696, 0.6644, 0.7963)  4 Pd 2.61-2.73
Mg (0.2304, 0.3356, 0.2037)  4 Pd 2.61-2.73
Ga (0.0000, 0.0000, 0.0000)  6 Pd 2.39-2.61
Pd (0.7981, 0.9261, 0.4777)  1 Ga 2.51, 4 Mg 2.61-2.76, 3 Pd 2.71-2.74
Pd (0.2019, 0.0739, 0.5223)  1 Ga 2.51, 4 Mg 2.61-2.76, 3 Pd 2.71-2.74
Pd (0.0777, 0.6937, 0.1509)  1 Ga 2.61, 2 Pd 2.72-2.74, 2 Mg 2.86
Pd (0.9223, 0.3063, 0.8491)  1 Ga 2.61, 2 Pd 2.72-2.74, 2 Mg 2.86
Pd (0.3665, 0.5106, 0.7564)  5 Mg 2.62-2.73, 2 Pd 2.71-2.72
Pd (0.5000, 0.0000, 0.0000)  2 Ga 2.39
Pd (0.6335, 0.4894, 0.2436)  5 Mg 2.62-2.73, 2 Pd 2.71-2.72

Summary:
Crystal system: monoclinic
Calculated volume in Å³/f.u.: 209.5
Energy of formation from the pure elements in meV/atom: -454



Entry 6:
Mg3GaPd3: relaxed, GGA-PBE.

Cell lengths 5.3847, 5.5367, 5.3847 Å; angles 110.04, 108.89, 110.04 degrees
With the nearest neighbours (Å) after each atom.
Element x y z (fractional)
Mg (0.4998, 0.0036, 0.0000)  6 Pd 2.69-2.77
Mg (0.5002, 0.5037, 0.5002)  6 Pd 2.69-2.77
Mg (0.0000, 0.0036, 0.4998)  6 Pd 2.69-2.77
Ga (0.0000, 0.5033, 0.0000)  6 Pd 2.69
Pd (0.5000, 0.5036, 0.0000)  2 Ga 2.69, 6 Mg 2.69-2.77
Pd (0.5000, 0.0036, 0.5000)  2 Ga 2.69, 6 Mg 2.69-2.77
Pd (0.0000, 0.5036, 0.5000)  2 Ga 2.69, 6 Mg 2.69-2.77

Summary:
Crystal system: trigonal
Calculated volume in Å³/f.u.: 122.7
Energy of formation from the pure elements in meV/atom: -624
Energy above the lowest structure with this stoichiometry in eV per atom: 0.000



Entry 7:
Mg3GaPd2: relaxed, GGA-PBE.

Cell lengths 3.2534, 3.2534, 9.6154 Å; angles 90.00, 90.00, 90.00 degrees
With the nearest neighbours (Å) after each atom.
Element x y z (fractional)
Mg (0.0000, 0.0000, 0.0000)  8 Pd 2.79, 2 Mg 3.07
Mg (0.0000, 0.0000, 0.6806)  4 Pd 2.74, 4 Ga 2.88
Mg (0.0000, 0.0000, 0.3194)  4 Pd 2.74, 4 Ga 2.88
Ga (0.5000, 0.5000, 0.5000)  8 Mg 2.88, 2 Pd 3.22
Pd (0.5000, 0.5000, 0.8353)  8 Mg 2.74-2.79
Pd (0.5000, 0.5000, 0.1647)  8 Mg 2.74-2.79

Summary:
Crystal system: tetragonal
Calculated volume in Å³/f.u.: 101.8
Energy of formation from the pure elements in meV/atom: -556



Entry 8:
MgGa4Pd7: relaxed, GGA-PBE.

Cell lengths 4.5955, 7.7189, 6.3046 Å; angles 80.80, 68.63, 72.68 degrees
With the nearest neighbours (Å) after each atom.
Element x y z (fractional)
Mg (0.0000, 0.0000, 0.0000)  2 Pd 2.30
Ga (0.5789, 0.2145, 0.6278)  8 Pd 2.51-2.73
Ga (0.4211, 0.7855, 0.3722)  8 Pd 2.51-2.73
Ga (0.7116, 0.6638, 0.9130)  8 Pd 2.50-2.80
Ga (0.2884, 0.3362, 0.0870)  8 Pd 2.50-2.80
Pd (0.7838, 0.8720, 0.5604)  4 Ga 2.50-2.64, 2 Pd 2.75-2.80
Pd (0.2162, 0.1280, 0.4396)  4 Ga 2.50-2.64, 2 Pd 2.75-2.80
Pd (0.0747, 0.6646, 0.1859)  5 Ga 2.52-2.80, 1 Mg 2.64, 1 Pd 2.75
Pd (0.9253, 0.3354, 0.8141)  5 Ga 2.52-2.80, 1 Mg 2.64, 1 Pd 2.75
Pd (0.3524, 0.5733, 0.7220)  5 Ga 2.51-2.73
Pd (0.5000, 0.0000, 0.0000)  2 Mg 2.30, 2 Ga 2.56
Pd (0.6476, 0.4267, 0.2780)  5 Ga 2.51-2.73

Summary:
Crystal system: monoclinic
Calculated volume in Å³/f.u.: 198.5
Energy of formation from the pure elements in meV/atom: -475